# Zr2TlIn (PBE-GGA, optimized geometry)
# ΔH_f (0 K)   33 meV/atom
# Energy above the lowest structure with this stoichiometry   226.1 meV per atom
# Crystal system   trigonal
data_Zr2TlIn
_chemical_formula_sum 'Zr6 Tl3 In3'
_space_group_name_H-M_alt 'R 3 m'
_space_group_IT_number 160
_space_group_name_Hall 'R 3 -2"'
_cell_length_a 3.3310
_cell_length_b 3.3310
_cell_length_c 31.1255
_cell_angle_alpha 90.00
_cell_angle_beta 90.00
_cell_angle_gamma 120.00
loop_
_atom_site_label
_atom_site_fract_x
_atom_site_fract_y
_atom_site_fract_z
Zr1 0.0000 0.0000 0.0000
Zr2 0.0000 0.0000 0.2561
Tl1 0.0000 0.0000 0.7521
In1 0.0000 0.0000 0.5071

# PmY2Zr3N6 (PBE-GGA, optimized geometry)
# Uncorrected formation energy   -1931 kJ/mol of formula units
# Crystal system   monoclinic
data_PmY2Zr3N6
_chemical_formula_sum 'Pm2 Y4 Zr6 N12'
_space_group_name_H-M_alt 'C 1 2/m 1'
_space_group_IT_number 12
_cell_length_a 5.8318
_cell_length_b 10.0883
_cell_length_c 5.8977
_cell_angle_alpha 90.00
_cell_angle_beta 109.27
_cell_angle_gamma 90.00
loop_
_space_group_symop_operation_xyz
'x,y,z'
'-x,-y,-z'
'-x,y,-z'
'x,-y,z'
'x+1/2,y+1/2,z'
'-x+1/2,-y+1/2,-z'
'-x+1/2,y+1/2,-z'
'x+1/2,-y+1/2,z'
loop_
_atom_site_label
_atom_site_fract_x
_atom_site_fract_y
_atom_site_fract_z
Pm1 0.0000 0.0000 0.0000
Y1 0.0000 0.3332 0.0000
Zr1 0.0000 0.1679 0.5000
Zr2 0.0000 0.5000 0.5000
N1 0.2395 0.3300 0.7281
N2 0.2488 0.0000 0.7274

# TbHfMg (PBE-GGA, optimized geometry)
# ΔH_f (0 K)   55 meV/atom
# Energy above the lowest structure with this stoichiometry   0.0 meV per atom
# Crystal system   tetragonal
data_TbHfMg
_chemical_formula_sum 'Tb2 Hf2 Mg2'
_space_group_name_H-M_alt 'I 4 m m'
_space_group_IT_number 107
_space_group_name_Hall 'I 4 -2'
_cell_length_a 3.3374
_cell_length_b 3.3374
_cell_length_c 13.6872
_cell_angle_alpha 90.00
_cell_angle_beta 90.00
_cell_angle_gamma 90.00
loop_
_atom_site_label
_atom_site_fract_x
_atom_site_fract_y
_atom_site_fract_z
Tb1 0.0000 0.0000 0.0000
Hf1 0.0000 0.0000 0.3370
Mg1 0.0000 0.0000 0.6824

# Ca2AcSmAg4 (PBE-GGA, optimized geometry)
# ΔH_f (0 K)   -294 meV/atom
# Crystal system   trigonal
data_Ca2AcSmAg4
_chemical_formula_sum 'Ca6 Ac3 Sm3 Ag12'
_space_group_name_H-M_alt 'R -3 m'
_space_group_IT_number 166
_space_group_name_Hall '-R 3 2"'
_cell_length_a 5.3193
_cell_length_b 5.3193
_cell_length_c 26.3270
_cell_angle_alpha 90.00
_cell_angle_beta 90.00
_cell_angle_gamma 120.00
loop_
_atom_site_label
_atom_site_fract_x
_atom_site_fract_y
_atom_site_fract_z
Ca1 0.0000 0.0000 0.2473
Ac1 0.0000 0.0000 0.0000
Sm1 0.0000 0.0000 0.5000
Ag1 0.0000 0.0000 0.1278
Ag2 0.0000 0.0000 0.3805

# Pr5Pa3N8 (PBE-GGA, optimized geometry)
# Uncorrected formation energy   -2335 kJ/mol of formula units
# Crystal system   trigonal
data_Pr5Pa3N8
_chemical_formula_sum 'Pr15 Pa9 N24'
_space_group_name_H-M_alt 'R -3 m'
_space_group_IT_number 166
_space_group_name_Hall '-R 3 2"'
_cell_length_a 7.2121
_cell_length_b 7.2121
_cell_length_c 17.7665
_cell_angle_alpha 90.00
_cell_angle_beta 90.00
_cell_angle_gamma 120.00
loop_
_atom_site_label
_atom_site_fract_x
_atom_site_fract_y
_atom_site_fract_z
Pr1 0.0000 0.0000 0.0000
Pr2 0.0000 0.0000 0.5000
Pr3 0.0000 0.5000 0.0000
Pa1 0.0000 0.5000 0.5000
N1 0.0000 0.0000 0.2357
N2 0.0235 0.5117 0.7620

# DyScCI (PBE-GGA, optimized geometry)
# Uncorrected formation energy   -280 kJ/mol of formula units
# Crystal system   trigonal
data_DyScCI
_chemical_formula_sum 'Dy3 Sc3 C3 I3'
_space_group_name_H-M_alt 'R 3 m'
_space_group_IT_number 160
_space_group_name_Hall 'R 3 -2"'
_cell_length_a 3.6653
_cell_length_b 3.6653
_cell_length_c 21.4989
_cell_angle_alpha 90.00
_cell_angle_beta 90.00
_cell_angle_gamma 120.00
loop_
_atom_site_label
_atom_site_fract_x
_atom_site_fract_y
_atom_site_fract_z
Dy1 0.0000 0.0000 0.0000
Sc1 0.0000 0.0000 0.2222
C1 0.0000 0.0000 0.6035
I1 0.0000 0.0000 0.7812

# Tb3DyTm2Sb6 (PBE-GGA, optimized geometry)
# Uncorrected formation energy   -1295 kJ/mol of formula units
# Crystal system   monoclinic
data_Tb3DyTm2Sb6
_chemical_formula_sum 'Tb6 Dy2 Tm4 Sb12'
_space_group_name_H-M_alt 'C 1 2/m 1'
_space_group_IT_number 12
_cell_length_a 19.0721
_cell_length_b 4.3764
_cell_length_c 8.7519
_cell_angle_alpha 90.00
_cell_angle_beta 103.19
_cell_angle_gamma 90.00
loop_
_space_group_symop_operation_xyz
'x,y,z'
'-x,-y,-z'
'-x,y,-z'
'x,-y,z'
'x+1/2,y+1/2,z'
'-x+1/2,-y+1/2,-z'
'-x+1/2,y+1/2,-z'
'x+1/2,-y+1/2,z'
loop_
_atom_site_label
_atom_site_fract_x
_atom_site_fract_y
_atom_site_fract_z
Tb1 0.0000 0.0000 0.0000
Tb2 0.1663 0.5000 0.3329
Dy1 0.0000 0.0000 0.5000
Tm1 0.1668 0.5000 0.8333
Sb1 0.0012 0.5000 0.7499
Sb2 0.1666 0.0000 0.5862
Sb3 0.1677 0.0000 0.0805

# ZnInMo2 (PBE-GGA, optimized geometry)
# ΔH_f (0 K)   294 meV/atom
# Energy above the lowest structure with this stoichiometry   140.8 meV per atom
# Crystal system   monoclinic
data_ZnInMo2
_chemical_formula_sum 'Zn1 In1 Mo2'
_space_group_name_H-M_alt 'P 1 2/m 1'
_space_group_IT_number 10
_cell_length_a 2.7835
_cell_length_b 4.4915
_cell_length_c 5.5420
_cell_angle_alpha 90.00
_cell_angle_beta 104.04
_cell_angle_gamma 90.00
loop_
_space_group_symop_operation_xyz
'x,y,z'
'-x,-y,-z'
'-x,y,-z'
'x,-y,z'
loop_
_atom_site_label
_atom_site_fract_x
_atom_site_fract_y
_atom_site_fract_z
Zn1 0.0000 0.0000 0.0000
In1 0.0000 0.0000 0.5000
Mo1 0.4876 0.5000 0.2314

# CaReAs2Se (PBE-GGA, optimized geometry)
# Uncorrected formation energy   -57 kJ/mol of formula units
# Energy above the lowest structure with this stoichiometry   0.0 meV per atom
# Crystal system   tetragonal
data_CaReAs2Se
_chemical_formula_sum 'Ca1 Re1 As2 Se1'
_space_group_name_H-M_alt 'P 4/m m m'
_space_group_IT_number 123
_space_group_name_Hall '-P 4 2'
_cell_length_a 4.6816
_cell_length_b 4.6816
_cell_length_c 5.8480
_cell_angle_alpha 90.00
_cell_angle_beta 90.00
_cell_angle_gamma 90.00
loop_
_atom_site_label
_atom_site_fract_x
_atom_site_fract_y
_atom_site_fract_z
Ca1 0.0000 0.0000 0.0000
Re1 0.5000 0.5000 0.5000
As1 0.0000 0.5000 0.5000
Se1 0.5000 0.5000 0.0000

# TaSiOs2 (PBE-GGA, optimized geometry)
# Uncorrected formation energy   -44 kJ/mol of formula units
# Crystal system   monoclinic
data_TaSiOs2
_chemical_formula_sum 'Ta2 Si2 Os4'
_space_group_name_H-M_alt 'C 1 2/m 1'
_space_group_IT_number 12
_cell_length_a 8.5652
_cell_length_b 2.8810
_cell_length_c 4.9181
_cell_angle_alpha 90.00
_cell_angle_beta 99.06
_cell_angle_gamma 90.00
loop_
_space_group_symop_operation_xyz
'x,y,z'
'-x,-y,-z'
'-x,y,-z'
'x,-y,z'
'x+1/2,y+1/2,z'
'-x+1/2,-y+1/2,-z'
'-x+1/2,y+1/2,-z'
'x+1/2,-y+1/2,z'
loop_
_atom_site_label
_atom_site_fract_x
_atom_site_fract_y
_atom_site_fract_z
Ta1 0.0000 0.0000 0.0000
Si1 0.0000 0.5000 0.5000
Os1 0.2490 0.0000 0.7347

# B5C7 (PBE-GGA, optimized geometry)
# ΔH_f (0 K)   424 meV/atom
# Energy above the lowest structure with this stoichiometry   166.1 meV per atom
# Crystal system   trigonal
data_B5C7
_chemical_formula_sum 'B5 C7'
_space_group_name_H-M_alt 'P 3 m 1'
_space_group_IT_number 156
_cell_length_a 2.5679
_cell_length_b 2.5679
_cell_length_c 13.8066
_cell_angle_alpha 90.00
_cell_angle_beta 90.00
_cell_angle_gamma 120.00
loop_
_space_group_symop_operation_xyz
'x,y,z'
'-y,x-y,z'
'-x+y,-x,z'
'-y,-x,z'
'-x+y,y,z'
'x,x-y,z'
loop_
_atom_site_label
_atom_site_fract_x
_atom_site_fract_y
_atom_site_fract_z
B1 0.0000 0.0000 0.0000
B2 0.0000 0.0000 0.1228
B3 0.0000 0.0000 0.5864
B4 0.6667 0.3333 0.7948
B5 0.6667 0.3333 0.9175
C1 0.0000 0.0000 0.4698
C2 0.3333 0.6667 0.1735
C3 0.3333 0.6667 0.2827
C4 0.3333 0.6667 0.6382
C5 0.3333 0.6667 0.7402
C6 0.6667 0.3333 0.3206
C7 0.6667 0.3333 0.4334